9
Lattice="3.501 0.000 0.000 -1.751 3.032 0.000 0.000 0.000 25.354" Properties=species:S:1:pos:R:3 comment="GGA-PBE Na2In3Pb4, relaxed" total_energy_ry_per_atom=-0.2100 density_g_cm3=7.52 e_above_lowest_polymorph_kj_per_mol_fu=67 spacegroup="P3m1 (156)" pbc="T T T"
Na 0.000 0.000 0.000
Na 0.000 0.000 5.363
In 0.000 0.000 19.859
In 0.000 2.021 2.687
In 0.000 2.021 11.299
Pb 0.000 0.000 8.577
Pb 0.000 0.000 14.125
Pb 0.000 2.021 17.028
Pb 0.000 2.021 22.583